[1]
{
  "formula": "La2ZnAg",
  "functional": "SCAN",
  "state": "PBEsol geometry",
  "cell": [[5.8293, -1.8993, 0.0000], [5.8293, 1.8993, 0.0000], [-2.0493, 0.0000, 4.4395]],
  "species": ["La", "La", "Zn", "Ag"],
  "fractional_positions": [[0.0000, 0.0000, 0.0000], [0.2031, 0.2031, 0.7024], [0.4406, 0.4406, 0.4410], [0.7650, 0.7650, 0.2642]],
  "final_energy_ev_per_cell": -132.2,
  "formation_enthalpy_0k_ev_per_atom": -0.276
}


[2]
{
  "formula": "LaZn2Ag",
  "functional": "SCAN",
  "state": "PBEsol geometry",
  "cell": [[2.2373, 1.2917, 4.8145], [-2.2373, 1.2917, 4.8145], [0.0000, -2.5834, 4.8145]],
  "species": ["La", "Zn", "Zn", "Ag"],
  "fractional_positions": [[0.0000, 0.0000, 0.0000], [0.4810, 0.4810, 0.4810], [0.7880, 0.7880, 0.7880], [0.2095, 0.2095, 0.2095]],
  "final_energy_ev_per_cell": -102.6,
  "formation_enthalpy_0k_ev_per_atom": -0.285
}


[3]
{
  "formula": "La2Zn2Ag",
  "functional": "SCAN",
  "state": "PBEsol geometry",
  "cell": [[7.0292, 0.0000, 0.0000], [0.0000, 7.0292, 0.0000], [0.0000, 0.0000, 4.6735]],
  "species": ["La", "La", "La", "La", "Zn", "Zn", "Zn", "Zn", "Ag", "Ag"],
  "fractional_positions": [[0.1651, 0.3349, 0.0000], [0.3349, 0.8349, 0.0000], [0.6651, 0.1651, 0.0000], [0.8349, 0.6651, 0.0000], [0.1325, 0.6325, 0.5000], [0.3675, 0.1325, 0.5000], [0.6325, 0.8675, 0.5000], [0.8675, 0.3675, 0.5000], [0.0000, 0.0000, 0.5000], [0.5000, 0.5000, 0.5000]],
  "final_energy_ev_per_cell": -292.3,
  "formation_enthalpy_0k_ev_per_atom": -0.309
}